# Al6Mo7

An optimized crystal structure of Al6Mo7 (PBE, the Alexandria database).

Computed properties:
ΔE_f, eV/f.u.: 0.9
Crystal system: trigonal

a = 9.4522 Å, b = 9.4522 Å, c = 9.4522 Å
α = 32.50°, β = 32.50°, γ = 32.50°
Atoms (fractional coordinates):
Al  0.0495  0.0495  0.0495
Al  0.1521  0.1521  0.1521
Al  0.3337  0.3337  0.3337
Al  0.6663  0.6663  0.6663
Al  0.8479  0.8479  0.8479
Al  0.9505  0.9505  0.9505
Mo  0.0823  0.5900  0.5900
Mo  0.4100  0.4100  0.9177
Mo  0.4100  0.9177  0.4100
Mo  0.5000  0.5000  0.5000
Mo  0.5900  0.0823  0.5900
Mo  0.5900  0.5900  0.0823
Mo  0.9177  0.4100  0.4100

***

# NaAg2HF6

An optimized crystal structure of NaAg2HF6 (PBE, the Alexandria database).

Computed properties:
Crystal system: monoclinic

a = 7.3541 Å, b = 7.3541 Å, c = 5.7360 Å
α = 101.28°, β = 101.28°, γ = 67.12°
Atoms (fractional coordinates):
Na  0.1472  0.8528  0.7500
Na  0.8528  0.1472  0.2500
Ag  0.1644  0.3741  0.2300
Ag  0.3741  0.1644  0.7300
Ag  0.6259  0.8356  0.2700
Ag  0.8356  0.6259  0.7700
H  0.3301  0.6699  0.2500
H  0.6699  0.3301  0.7500
F  0.0648  0.1634  0.0219
F  0.1426  0.4513  0.7458
F  0.1634  0.0648  0.5219
F  0.2746  0.6101  0.3835
F  0.3899  0.7254  0.1165
F  0.4513  0.1426  0.2458
F  0.5487  0.8574  0.7542
F  0.6101  0.2746  0.8835
F  0.7254  0.3899  0.6165
F  0.8366  0.9352  0.4781
F  0.8574  0.5487  0.2542
F  0.9352  0.8366  0.9781

***

# SrSIN2

An optimized crystal structure of SrSIN2 (PBE, the Alexandria database).

Computed properties:
Energy relative to the lowest polymorph listed for this composition, eV per formula unit: 1.92
Crystal system: tetragonal

a = 4.3534 Å, b = 4.3534 Å, c = 5.2841 Å
α = 90.00°, β = 90.00°, γ = 90.00°
Atoms (fractional coordinates):
Sr  0.0000  0.0000  0.0000
S  0.5000  0.5000  0.5000
I  0.5000  0.5000  0.0000
N  0.0000  0.5000  0.5000
N  0.5000  0.0000  0.5000

***

no.,uncorrected energy (eV/atom),total magnetization (μB per formula unit),DOS at the Fermi energy (states/eV/cell)
1,-7.49,0.00,9.429
2,-3.68,0.00,1.288
3,-3.70,1.86,3.553